Entry 1:
## Ba2Ca15Mg2 (PBE-GGA)

Data for crystalline Ba2Ca15Mg2 at its relaxed geometry.

Cell: 12.5511 12.5511 18.7180 Å, 90.00 90.00 120.00°
Space group R-3m (No. 166, hexagonal axes)
Symmetry-distinct sites (fractional):
Ba  0.0000  0.0000  0.1725
Ca  0.0000  0.2951  0.5000
Ca  0.0000  0.5000  0.0000
Ca  0.0044  0.5022  0.3464
Mg  0.0000  0.0000  0.4133

=====

Entry 2:
## BeNbZn3 (PBE-GGA)

Data for crystalline BeNbZn3 at its relaxed geometry.

Cell: 4.1828 4.1828 4.1828 Å, 90.00 90.00 90.00°
Space group Pm-3m (No. 221)
Symmetry-distinct sites (fractional):
Be  0.0000  0.0000  0.0000
Nb  0.5000  0.5000  0.5000
Zn  0.0000  0.0000  0.5000

=====

Entry 3:
## TmPaTl (PBE-GGA)

Data for crystalline TmPaTl at its relaxed geometry.

Cell: 3.2657 3.2657 14.9657 Å, 90.00 90.00 90.00°
Space group I4mm (No. 107)
Symmetry-distinct sites (fractional):
Tm  0.0000  0.0000  0.0000
Pa  0.0000  0.0000  0.6687
Tl  0.0000  0.0000  0.3369

=====

Entry 4:
## Li2Ga5Ni2Rh (PBE-GGA)

Data for crystalline Li2Ga5Ni2Rh at its relaxed geometry.

Cell: 10.2117 10.2117 2.9489 Å, 90.00 90.00 90.00°
Space group P4/mbm (No. 127)
Symmetry-distinct sites (fractional):
Li  0.1707  0.3293  0.0000
Ga  0.0000  0.5000  0.5000
Ga  0.0658  0.8040  0.5000
Ni  0.1316  0.6316  0.0000
Rh  0.0000  0.0000  0.0000

=====

Entry 5:
## K2Tl5Bi3 (PBE-GGA)

Data for crystalline K2Tl5Bi3 at its relaxed geometry.

Cell: 14.2654 14.9081 7.1462 Å, 90.00 90.00 90.00°
Space group Ibam (No. 72)
Symmetry-distinct sites (fractional):
K  0.2491  0.1220  0.0000
Tl  0.0000  0.0000  0.2500
Tl  0.0000  0.2471  0.2500
Tl  0.1360  0.3737  0.0000
Bi  0.0000  0.5000  0.2500
Bi  0.1432  0.1235  0.5000

=====

Entry 6:
## SbPtRh4 (PBE-GGA)

Data for crystalline SbPtRh4 at its relaxed geometry.

Cell: 7.3256 7.3256 7.3256 Å, 90.00 90.00 90.00°
Space group F-43m (No. 216)
Symmetry-distinct sites (fractional):
Sb  0.0000  0.0000  0.0000
Pt  0.2500  0.2500  0.2500
Rh  0.1245  0.1245  0.6245

=====

Entry 7:
## Ag2PRu (PBE-GGA)

Data for crystalline Ag2PRu at its relaxed geometry.

Cell: 2.7375 2.7375 8.7701 Å, 90.00 90.00 90.00°
Space group P4/mmm (No. 123)
Symmetry-distinct sites (fractional):
Ag  0.0000  0.0000  0.2479
P  0.5000  0.5000  0.5000
Ru  0.5000  0.5000  0.0000

=====

Entry 8:
## KAsS2Cl (PBE-GGA)

Data for crystalline KAsS2Cl at its relaxed geometry.

Cell: 6.0072 6.0072 5.6109 Å, 90.00 90.00 90.00°
Space group P4/mmm (No. 123)
Symmetry-distinct sites (fractional):
K  0.0000  0.0000  0.0000
As  0.5000  0.5000  0.5000
S  0.0000  0.5000  0.0000
Cl  0.0000  0.0000  0.5000

=====

Entry 9:
## Hg2SbN2 (PBE-GGA)

Data for crystalline Hg2SbN2 at its relaxed geometry.

Cell: 4.3829 4.4207 15.3268 Å, 90.00 90.38 90.00°
Space group C2/m (No. 12)
Symmetry-distinct sites (fractional):
Hg  0.0103  0.0000  0.2067
Sb  0.0000  0.0000  0.0000
N  0.0019  0.5000  0.5363

=====

Entry 10:
## Mg2HgIrC (PBE-GGA)

Data for crystalline Mg2HgIrC at its relaxed geometry.

Cell: 4.6060 4.6060 3.8763 Å, 90.00 90.00 90.00°
Space group P4/mmm (No. 123)
Symmetry-distinct sites (fractional):
Mg  0.0000  0.5000  0.0000
Hg  0.0000  0.0000  0.5000
Ir  0.5000  0.5000  0.5000
C  0.5000  0.5000  0.0000

=====

Entry 11:
## BaNi2Bi2 (PBE-GGA)

Data for crystalline BaNi2Bi2 at its relaxed geometry.

Cell: 8.2688 8.2688 3.5842 Å, 90.00 90.00 90.00°
Space group P4/mbm (No. 127)
Symmetry-distinct sites (fractional):
Ba  0.0000  0.0000  0.0000
Ni  0.1062  0.3938  0.0000
Bi  0.1520  0.6520  0.5000

=====

Entry 12:
## CaEuZnRh (PBE-GGA)

Data for crystalline CaEuZnRh at its relaxed geometry.

Cell: 7.1429 7.1429 7.1429 Å, 90.00 90.00 90.00°
Space group F-43m (No. 216)
Symmetry-distinct sites (fractional):
Ca  0.0000  0.0000  0.0000
Eu  0.0000  0.0000  0.5000
Zn  0.2500  0.2500  0.2500
Rh  0.2500  0.2500  0.7500

=====

Asked for final energy across the records above, the calculation gives -1.849; -3.102; -5.381; -4.151; -2.689; -6.320; -4.539; -2.215; -4.179; -4.369; -4.252; -5.526 eV/atom in order.
Asked for size of the total moment across the records above, the calculation gives 0.000; 0.000; 0.002; 0.000; 0.000; 0.037; 1.500; 1.008; 0.000; 0.000; 0.000; 28.499 μB per cell in order.